# GGA+U TmPuNi2O6, optimized geometry
# Volume: 369.8 Å³ per cell
# Calculated total energy: -7.635 eV per atom
data_TmPuNi2O6
_chemical_formula_sum 'Tm3 Pu3 Ni6 O18'
_space_group_name_H-M_alt 'R 3'
_space_group_IT_number 146
_space_group_name_Hall 'R 3'
_cell_length_a 5.3995
_cell_length_b 5.3995
_cell_length_c 14.6471
_cell_angle_alpha 90.00
_cell_angle_beta 90.00
_cell_angle_gamma 120.00
loop_
_atom_site_label
_atom_site_type_symbol
_atom_site_fract_x
_atom_site_fract_y
_atom_site_fract_z
Tm1 Tm 0.0000 0.0000 0.0000
Pu1 Pu 0.0000 0.0000 0.5071
Ni1 Ni 0.0000 0.0000 0.2034
Ni2 Ni 0.0000 0.0000 0.7097
O1 O 0.0326 0.3527 0.7737
O2 O 0.0476 0.6908 0.2715